Below is a geometry-optimized FeSiOs2 structure, with properties calculated at the PBE level.

Structure (POSCAR):
```
FeSiOs2
1.0
4.685 0.001 0.007
3.870 2.640 0.007
1.475 0.455 4.109
Fe Os Si
1 2 1
Direct
0.768 0.768 0.787
0.012 0.012 0.941
0.234 0.234 0.306
0.486 0.486 0.466
```

Properties
As for the crystal system: monoclinic. The calculated volume is 12.7 Å³/atom. The density comes out at 15184 kg/m3. The calculation puts the total energy at -36.6 eV/cell.